#1
DFT (PBE) results for a relaxed In3HgW crystal.

a b c (Å): 5.427 5.427 5.427
angles (deg): 90.00 90.00 90.00
Fractional coordinates of all 5 atoms:
In 0.000 0.000 0.500
In 0.000 0.500 0.000
In 0.500 0.000 0.000
Hg 0.000 0.000 0.000
W 0.500 0.500 0.500

Values from the calculation:
**SG**: No. 221
**V**: 159.9 Å³/cell

=====

#2
DFT (PBE) results for a relaxed In3HgW crystal.

a b c (Å): 5.376 5.376 5.376
angles (deg): 90.00 90.00 90.00
Fractional coordinates of all 5 atoms:
In 0.000 0.000 0.500
In 0.000 0.500 0.000
In 0.500 0.000 0.000
Hg 0.500 0.500 0.500
W 0.000 0.000 0.000

Values from the calculation:
**SG**: No. 221
**V**: 155.3 Å³/cell

=====

Tell me which of them is the least stable. Sure, it is #1.

=====

#1
DFT (PBE) results for a relaxed YInHg6 crystal.

a b c (Å): 8.625 8.625 8.625
angles (deg): 42.79 42.79 42.79
Fractional coordinates of all 8 atoms:
Y 0.000 0.000 0.000
In 0.500 0.500 0.500
Hg 0.071 0.071 0.554
Hg 0.071 0.554 0.071
Hg 0.446 0.929 0.929
Hg 0.554 0.071 0.071
Hg 0.929 0.446 0.929
Hg 0.929 0.929 0.446

Values from the calculation:
**SG**: No. 166
**V**: 268.2 Å³/cell

=====

#2
DFT (PBE) results for a relaxed YInHg6 crystal.

a b c (Å): 5.936 5.940 6.023
angles (deg): 87.47 84.41 80.75
Fractional coordinates of all 8 atoms:
Y 0.000 0.000 0.000
In 0.500 0.500 0.500
Hg 0.025 0.244 0.506
Hg 0.250 0.486 0.020
Hg 0.495 0.003 0.249
Hg 0.505 0.997 0.751
Hg 0.750 0.514 0.980
Hg 0.975 0.756 0.494

Values from the calculation:
**SG**: No. 2
**V**: 208.5 Å³/cell

=====

Tell me which of them is the least stable. Sure, it is #1.